1.
Computed, not measured: YCoNiC2 after structural relaxation at the GGA-PBE level of DFT.

Cell: 3.735 3.735 4.537 Å, 90.00 90.00 90.00°
Space group P4/mmm (No. 123)
One atom of each set of equivalent atoms:
Y  0.000  0.000  0.000 x1
Co  0.500  0.500  0.500 x1
Ni  0.500  0.500  0.000 x1
C  0.000  0.500  0.500 x2

DFT total energy: -6.7569 eV/atom
Total magnetization: 0.43 μB/f.u.

2.
Computed, not measured: YCoNi2C after structural relaxation at the GGA-PBE level of DFT.

Cell: 3.981 3.981 3.934 Å, 90.00 90.00 90.00°
Space group P4/mmm (No. 123)
One atom of each set of equivalent atoms:
Y  0.000  0.000  0.000 x1
Co  0.500  0.500  0.000 x1
Ni  0.000  0.500  0.500 x2
C  0.500  0.500  0.500 x1

DFT total energy: -7.0200 eV/atom
Total magnetization: 1.32 μB/f.u.

3.
Computed, not measured: ZnCoNi2C after structural relaxation at the GGA-PBE level of DFT.

Cell: 3.785 3.785 3.696 Å, 90.00 90.00 90.00°
Space group P4/mmm (No. 123)
One atom of each set of equivalent atoms:
Zn  0.000  0.000  0.000 x1
Co  0.500  0.500  0.000 x1
Ni  0.000  0.500  0.500 x2
C  0.500  0.500  0.500 x1

DFT total energy: -5.8823 eV/atom
Total magnetization: 0.00 μB/f.u.